Record 1
Computed, not measured: a PBEsol-optimized structure of MgPO2F at the meta-GGA SCAN level of DFT.

Values from the calculation:
Formation energy without anion corrections in kJ/mol of atoms: -23.2
Space-group type: P4/mmm, No. 123

CIF file:
```
data_MgPO2F
_cell_length_a 3.697
_cell_length_b 3.697
_cell_length_c 5.419
_cell_angle_alpha 90.00
_cell_angle_beta 90.00
_cell_angle_gamma 90.00
_symmetry_space_group_name_H-M 'P 1'
_symmetry_Int_Tables_number 1
loop_
_symmetry_equiv_pos_as_xyz
'x,y,z'
loop_
_atom_site_label
_atom_site_fract_x
_atom_site_fract_y
_atom_site_fract_z
Mg1 0.000 0.000 0.000
P1 0.000 0.000 0.500
O1 0.000 0.500 0.000
O2 0.500 0.000 0.000
F1 0.500 0.500 0.500
```

Record 2
Computed, not measured: a PBEsol-optimized structure of La4MnTl at the meta-GGA SCAN level of DFT.

Values from the calculation:
Space-group type: F-43m, No. 216
ΔE_f in eV per atom: 0.2623

CIF file:
```
data_La4MnTl
_cell_length_a 6.358
_cell_length_b 6.358
_cell_length_c 6.358
_cell_angle_alpha 60.00
_cell_angle_beta 60.00
_cell_angle_gamma 60.00
_symmetry_space_group_name_H-M 'P 1'
_symmetry_Int_Tables_number 1
loop_
_symmetry_equiv_pos_as_xyz
'x,y,z'
loop_
_atom_site_label
_atom_site_fract_x
_atom_site_fract_y
_atom_site_fract_z
La1 0.125 0.125 0.125
La2 0.125 0.125 0.624
La3 0.125 0.624 0.125
La4 0.624 0.125 0.125
Mn1 0.750 0.750 0.750
Tl1 0.500 0.500 0.500
```

Record 3
Computed, not measured: a PBEsol-optimized structure of AlPPb at the meta-GGA SCAN level of DFT.

Values from the calculation:
Distance to the lowest polymorph of the same formula in meV/atom: 103
Space-group type: Cmcm, No. 63
ΔE_f in eV per atom: -0.0082

CIF file:
```
data_AlPPb
_cell_length_a 5.862
_cell_length_b 5.862
_cell_length_c 6.805
_cell_angle_alpha 90.00
_cell_angle_beta 90.00
_cell_angle_gamma 145.69
_symmetry_space_group_name_H-M 'P 1'
_symmetry_Int_Tables_number 1
loop_
_symmetry_equiv_pos_as_xyz
'x,y,z'
loop_
_atom_site_label
_atom_site_fract_x
_atom_site_fract_y
_atom_site_fract_z
Al1 0.000 0.000 0.000
Al2 0.000 0.000 0.500
P1 0.477 0.523 0.750
P2 0.523 0.477 0.250
Pb1 0.261 0.739 0.250
Pb2 0.739 0.261 0.750
```

Record 4
Computed, not measured: a PBEsol-optimized structure of AlAs3Rh at the meta-GGA SCAN level of DFT.

Values from the calculation:
Space-group type: Pm-3m, No. 221
ΔE_f in eV per atom: 0.8959

CIF file:
```
data_AlAs3Rh
_cell_length_a 4.647
_cell_length_b 4.647
_cell_length_c 4.647
_cell_angle_alpha 90.00
_cell_angle_beta 90.00
_cell_angle_gamma 90.00
_symmetry_space_group_name_H-M 'P 1'
_symmetry_Int_Tables_number 1
loop_
_symmetry_equiv_pos_as_xyz
'x,y,z'
loop_
_atom_site_label
_atom_site_fract_x
_atom_site_fract_y
_atom_site_fract_z
Al1 0.000 0.000 0.000
As1 0.000 0.000 0.500
As2 0.000 0.500 0.000
As3 0.500 0.000 0.000
Rh1 0.500 0.500 0.500
```

How do the records compare in calculated volume? In the order shown, they have 14.8 30.3 22.0 20.1 Å³/atom.
How do the records compare in VASP energy? In the order shown, they have -6.515 -43.577 -31.319 -19.523 eV/atom.
How do the records compare in N(E_F)? In the order shown, they have 1.85 6.12 0.78 3.98 states/eV/f.u..